# 1
# NbAgOs3 | the Alexandria database | PBE-GGA | optimized geometry
# calculated total energy	-6.500	eV/atom
# total magnetic moment	0.0000	μB/atom
# DOS(E_F)	1.627	states/eV per atom
# calculated volume	101.56	Å³/cell
# formation energy	14.1	eV per formula unit
# SG	Pm-3m, No. 221
data_NbAgOs3
_symmetry_space_group_name_H-M 'P 1'
_symmetry_Int_Tables_number 1
_cell_length_a 4.666
_cell_length_b 4.666
_cell_length_c 4.666
_cell_angle_alpha 90.00
_cell_angle_beta 90.00
_cell_angle_gamma 90.00
loop_
_symmetry_equiv_pos_as_xyz
'x,y,z'
loop_
_atom_site_label
_atom_site_type_symbol
_atom_site_fract_x
_atom_site_fract_y
_atom_site_fract_z
Nb1 Nb 0.000 0.000 0.000
Ag1 Ag 0.500 0.500 0.500
Os1 Os 0.000 0.500 0.500
Os2 Os 0.500 0.000 0.500
Os3 Os 0.500 0.500 0.000

---

# 2
# PmPrNiCl | the Alexandria database | PBE-GGA | optimized geometry
# uncorrected formation energy	-819	meV/atom
# calculated total energy	-5.109	eV/atom
# total magnetic moment	0.0000	μB/atom
# DOS(E_F)	0.788	states/eV per atom
# calculated volume	101.80	Å³/cell
# SG	Cm, No. 8
data_PmPrNiCl
_symmetry_space_group_name_H-M 'P 1'
_symmetry_Int_Tables_number 1
_cell_length_a 3.806
_cell_length_b 3.806
_cell_length_c 8.387
_cell_angle_alpha 103.02
_cell_angle_beta 103.02
_cell_angle_gamma 60.19
loop_
_symmetry_equiv_pos_as_xyz
'x,y,z'
loop_
_atom_site_label
_atom_site_type_symbol
_atom_site_fract_x
_atom_site_fract_y
_atom_site_fract_z
Pm1 Pm 0.000 0.000 0.000
Pr1 Pr 0.853 0.853 0.559
Ni1 Ni 0.595 0.595 0.786
Cl1 Cl 0.424 0.424 0.272